First-principles (PBE) data for a relaxed structure of NbVP, as listed in the Alexandria database.

Geometry as CIF:
```
data_NbVP
_cell_length_a 6.429
_cell_length_b 3.416
_cell_length_c 7.726
_cell_angle_alpha 90.00
_cell_angle_beta 90.00
_cell_angle_gamma 90.00
_space_group_name_H-M_alt 'P n m a'
_space_group_IT_number 62
_space_group_name_Hall '-P 2ac 2n'
loop_
_atom_site_label
_atom_site_fract_x
_atom_site_fract_y
_atom_site_fract_z
Nb1 0.038 0.250 0.168
V1 0.137 0.250 0.558
P1 0.238 0.750 0.361
```

---

# PBE NbVP2, optimized geometry
# Energy above the most stable polymorph in this dataset in meV per atom: 171
data_NbVP2
_cell_length_a 6.078
_cell_length_b 6.078
_cell_length_c 6.078
_cell_angle_alpha 90.00
_cell_angle_beta 90.00
_cell_angle_gamma 90.00
_space_group_name_H-M_alt 'F m -3 m'
_space_group_IT_number 225
_space_group_name_Hall '-F 4 2 3'
loop_
_atom_site_label
_atom_site_fract_x
_atom_site_fract_y
_atom_site_fract_z
Nb1 0.000 0.000 0.000
V1 0.000 0.000 0.500
P1 0.250 0.250 0.250

---

First-principles (PBE) data for a relaxed structure of NbVP, as listed in the Alexandria database.

Geometry as CIF:
```
data_NbVP
_cell_length_a 3.242
_cell_length_b 3.242
_cell_length_c 8.280
_cell_angle_alpha 90.00
_cell_angle_beta 90.00
_cell_angle_gamma 90.00
_space_group_name_H-M_alt 'I 4 m m'
_space_group_IT_number 107
_space_group_name_Hall 'I 4 -2'
loop_
_atom_site_label
_atom_site_fract_x
_atom_site_fract_y
_atom_site_fract_z
Nb1 0.000 0.000 0.000
V1 0.000 0.000 0.682
P1 0.000 0.000 0.329
```

---

First-principles (PBE) data for a relaxed structure of NbVP, as listed in the Alexandria database.

Geometry as CIF:
```
data_NbVP
_cell_length_a 4.836
_cell_length_b 9.025
_cell_length_c 7.969
_cell_angle_alpha 90.00
_cell_angle_beta 90.00
_cell_angle_gamma 90.00
_space_group_name_H-M_alt 'F d d 2'
_space_group_IT_number 43
_space_group_name_Hall 'F 2 -2d'
loop_
_atom_site_label
_atom_site_fract_x
_atom_site_fract_y
_atom_site_fract_z
Nb1 0.000 0.000 0.000
V1 0.000 0.000 0.665
P1 0.000 0.000 0.340
```

---

First-principles (PBE) data for a relaxed structure of NbVP, as listed in the Alexandria database.

Geometry as CIF:
```
data_NbVP
_cell_length_a 3.053
_cell_length_b 3.250
_cell_length_c 9.185
_cell_angle_alpha 90.00
_cell_angle_beta 90.00
_cell_angle_gamma 90.00
_space_group_name_H-M_alt 'A m m 2'
_space_group_IT_number 38
_space_group_name_Hall 'A 2 -2'
loop_
_atom_site_label
_atom_site_fract_x
_atom_site_fract_y
_atom_site_fract_z
Nb1 0.000 0.000 0.000
V1 0.500 0.000 0.307
P1 0.000 0.000 0.708
```

---

First-principles (PBE) data for a relaxed structure of NbVP, as listed in the Alexandria database.

Geometry as CIF:
```
data_NbVP
_cell_length_a 4.729
_cell_length_b 4.786
_cell_length_c 4.809
_cell_angle_alpha 63.11
_cell_angle_beta 73.68
_cell_angle_gamma 73.35
_space_group_name_H-M_alt 'P 1'
_space_group_IT_number 1
_space_group_name_Hall 'P 1'
loop_
_atom_site_label
_atom_site_fract_x
_atom_site_fract_y
_atom_site_fract_z
Nb1 0.000 0.000 0.000
Nb2 0.390 0.920 0.416
V1 0.004 0.512 0.487
V2 0.626 0.581 0.063
P1 0.216 0.458 0.947
P2 0.789 0.064 0.541
```

---

First-principles (PBE) data for a relaxed structure of NbVP, as listed in the Alexandria database.

Geometry as CIF:
```
data_NbVP
_cell_length_a 14.734
_cell_length_b 3.255
_cell_length_c 8.001
_cell_angle_alpha 90.00
_cell_angle_beta 92.38
_cell_angle_gamma 90.00
_space_group_name_H-M_alt 'C 1 2/m 1'
_space_group_IT_number 12
_space_group_name_Hall '-C 2y'
loop_
_atom_site_label
_atom_site_fract_x
_atom_site_fract_y
_atom_site_fract_z
Nb1 0.033 0.000 0.339
Nb2 0.098 0.500 0.846
V1 0.236 0.000 0.370
V2 0.249 0.000 0.873
P1 0.133 0.000 0.095
P2 0.140 0.000 0.610
```

---

# PBE NbVP3, optimized geometry
# Energy above the most stable polymorph in this dataset in meV per atom: 0
data_NbVP3
_cell_length_a 4.493
_cell_length_b 4.493
_cell_length_c 4.493
_cell_angle_alpha 90.00
_cell_angle_beta 90.00
_cell_angle_gamma 90.00
_space_group_name_H-M_alt 'P m -3 m'
_space_group_IT_number 221
_space_group_name_Hall '-P 4 2 3'
loop_
_atom_site_label
_atom_site_fract_x
_atom_site_fract_y
_atom_site_fract_z
Nb1 0.000 0.000 0.000
V1 0.500 0.500 0.500
P1 0.000 0.500 0.500

---

First-principles (PBE) data for a relaxed structure of Nb2VP, as listed in the Alexandria database.

Geometry as CIF:
```
data_Nb2VP
_cell_length_a 6.965
_cell_length_b 6.965
_cell_length_c 5.555
_cell_angle_alpha 90.00
_cell_angle_beta 90.00
_cell_angle_gamma 90.00
_space_group_name_H-M_alt 'I -4 2 d'
_space_group_IT_number 122
_space_group_name_Hall 'I -4 2bw'
loop_
_atom_site_label
_atom_site_fract_x
_atom_site_fract_y
_atom_site_fract_z
Nb1 0.224 0.250 0.125
V1 0.000 0.000 0.500
P1 0.000 0.000 0.000
```

---

# PBE NbVP3, optimized geometry
# Energy above the most stable polymorph in this dataset in meV per atom: 126
data_NbVP3
_cell_length_a 4.780
_cell_length_b 4.780
_cell_length_c 4.780
_cell_angle_alpha 90.00
_cell_angle_beta 90.00
_cell_angle_gamma 90.00
_space_group_name_H-M_alt 'P m -3 m'
_space_group_IT_number 221
_space_group_name_Hall '-P 4 2 3'
loop_
_atom_site_label
_atom_site_fract_x
_atom_site_fract_y
_atom_site_fract_z
Nb1 0.000 0.000 0.000
V1 0.500 0.500 0.500
P1 0.000 0.000 0.500

---

First-principles (PBE) data for a relaxed structure of NbVP, as listed in the Alexandria database.

Geometry as CIF:
```
data_NbVP
_cell_length_a 8.881
_cell_length_b 3.307
_cell_length_c 6.197
_cell_angle_alpha 90.00
_cell_angle_beta 101.77
_cell_angle_gamma 90.00
_space_group_name_H-M_alt 'C 1 m 1'
_space_group_IT_number 8
_space_group_name_Hall 'C -2y'
loop_
_atom_site_label
_atom_site_fract_x
_atom_site_fract_y
_atom_site_fract_z
Nb1 0.000 0.000 0.000
Nb2 0.144 0.500 0.357
V1 0.212 0.500 0.879
V2 0.369 0.000 0.618
P1 0.074 0.000 0.623
P2 0.327 0.000 0.195
```

---

First-principles (PBE) data for a relaxed structure of NbVP, as listed in the Alexandria database.

Geometry as CIF:
```
data_NbVP
_cell_length_a 3.325
_cell_length_b 3.909
_cell_length_c 6.744
_cell_angle_alpha 90.00
_cell_angle_beta 90.00
_cell_angle_gamma 90.00
_space_group_name_H-M_alt 'P m m 2'
_space_group_IT_number 25
_space_group_name_Hall 'P 2 -2'
loop_
_atom_site_label
_atom_site_fract_x
_atom_site_fract_y
_atom_site_fract_z
Nb1 0.000 0.000 0.000
Nb2 0.000 0.500 0.369
V1 0.500 0.000 0.355
V2 0.500 0.500 0.714
P1 0.000 0.000 0.632
P2 0.500 0.500 0.079
```

---

no.,formation energy (eV per atom),spin magnetization (μB per formula unit)
1,-0.90,0.0
2,-0.51,0.0
3,-0.42,0.0
4,-0.47,0.0
5,-0.53,0.1
6,-0.52,0.0
7,-0.38,0.0
8,0.52,2.7
9,0.15,1.4
10,0.64,2.9
11,-0.59,0.0
12,-0.67,0.5